# 1
# LiGdHfTc | Alexandria via LeMat-Bulk | PBE-GGA | optimized geometry
data_LiGdHfTc
_chemical_formula_sum 'Li4 Gd4 Hf4 Tc4'
_space_group_name_H-M_alt 'F -4 3 m'
_space_group_IT_number 216
_space_group_name_Hall 'F -4 2 3'
_cell_length_a 6.7661
_cell_length_b 6.7661
_cell_length_c 6.7661
_cell_angle_alpha 90.00
_cell_angle_beta 90.00
_cell_angle_gamma 90.00
loop_
_atom_site_label
_atom_site_fract_x
_atom_site_fract_y
_atom_site_fract_z
Li1 0.0000 0.0000 0.0000
Gd1 0.2500 0.2500 0.2500
Hf1 0.2500 0.2500 0.7500
Tc1 0.0000 0.0000 0.5000
# - Calculated formation energy: -0.29 eV per formula unit
# - Total magnetic moment: 7.265 μB per formula unit



# 2
# YScIr2 | Alexandria via LeMat-Bulk | PBE-GGA | optimized geometry
data_YScIr2
_chemical_formula_sum 'Y1 Sc1 Ir2'
_space_group_name_H-M_alt 'P 4 m m'
_space_group_IT_number 99
_cell_length_a 3.1354
_cell_length_b 3.1354
_cell_length_c 8.4856
_cell_angle_alpha 90.00
_cell_angle_beta 90.00
_cell_angle_gamma 90.00
loop_
_space_group_symop_operation_xyz
'x,y,z'
'-y,x,z'
'-x,-y,z'
'y,-x,z'
'-x,y,z'
'y,x,z'
'x,-y,z'
'-y,-x,z'
loop_
_atom_site_label
_atom_site_fract_x
_atom_site_fract_y
_atom_site_fract_z
Y1 0.0000 0.0000 0.0000
Sc1 0.5000 0.5000 0.6111
Ir1 0.0000 0.0000 0.4319
Ir2 0.5000 0.5000 0.2104
# - Calculated formation energy: -0.91 eV per formula unit
# - Total magnetic moment: 0.000 μB per formula unit



# 3
# TiNi3Pd | Alexandria via LeMat-Bulk | PBE-GGA | optimized geometry
data_TiNi3Pd
_chemical_formula_sum 'Ti4 Ni12 Pd4'
_space_group_name_H-M_alt 'P 21 3'
_space_group_IT_number 198
_space_group_name_Hall 'P 2ac 2ab 3'
_cell_length_a 6.4330
_cell_length_b 6.4330
_cell_length_c 6.4330
_cell_angle_alpha 90.00
_cell_angle_beta 90.00
_cell_angle_gamma 90.00
loop_
_atom_site_label
_atom_site_fract_x
_atom_site_fract_y
_atom_site_fract_z
Ti1 0.2242 0.2242 0.2242
Ni1 0.0851 0.1258 0.8359
Pd1 0.0254 0.9746 0.4746
# - Calculated formation energy: -0.93 eV per formula unit
# - Total magnetic moment: 0.000 μB per formula unit



# 4
# Te5C | Alexandria via LeMat-Bulk | PBE-GGA | optimized geometry
data_Te5C
_chemical_formula_sum 'Te10 C2'
_space_group_name_H-M_alt 'A m m 2'
_space_group_IT_number 38
_cell_length_a 3.6836
_cell_length_b 4.0945
_cell_length_c 23.4350
_cell_angle_alpha 90.00
_cell_angle_beta 90.00
_cell_angle_gamma 90.00
loop_
_space_group_symop_operation_xyz
'x,y,z'
'-x,-y,z'
'-x,y,z'
'x,-y,z'
'x,y+1/2,z+1/2'
'-x,-y+1/2,z+1/2'
'-x,y+1/2,z+1/2'
'x,-y+1/2,z+1/2'
loop_
_atom_site_label
_atom_site_fract_x
_atom_site_fract_y
_atom_site_fract_z
Te1 0.0000 0.0000 0.0000
Te2 0.0000 0.0000 0.3116
Te3 0.0000 0.0000 0.6240
Te4 0.5000 0.0000 0.4030
Te5 0.5000 0.0000 0.7157
C1 0.5000 0.0000 0.0549
# - Total magnetic moment: 0.000 μB per formula unit



# 5
# NaZn12Ga7 | Alexandria via LeMat-Bulk | PBE-GGA | optimized geometry
data_NaZn12Ga7
_chemical_formula_sum 'Na2 Zn24 Ga14'
_space_group_name_H-M_alt 'I m -3'
_space_group_IT_number 204
_space_group_name_Hall '-I 2 2 3'
_cell_length_a 9.4345
_cell_length_b 9.4345
_cell_length_c 9.4345
_cell_angle_alpha 90.00
_cell_angle_beta 90.00
_cell_angle_gamma 90.00
loop_
_atom_site_label
_atom_site_fract_x
_atom_site_fract_y
_atom_site_fract_z
Na1 0.0000 0.0000 0.0000
Zn1 0.0000 0.2541 0.3549
Ga1 0.0000 0.0000 0.5000
Ga2 0.2500 0.2500 0.2500
# - Calculated formation energy: 2.78 eV per formula unit
# - Total magnetic moment: 0.000 μB per formula unit



# 6
# Sr2MoRu | Alexandria via LeMat-Bulk | PBE-GGA | optimized geometry
data_Sr2MoRu
_chemical_formula_sum 'Sr2 Mo1 Ru1'
_space_group_name_H-M_alt 'P 4/m m m'
_space_group_IT_number 123
_space_group_name_Hall '-P 4 2'
_cell_length_a 4.1672
_cell_length_b 4.1672
_cell_length_c 5.1679
_cell_angle_alpha 90.00
_cell_angle_beta 90.00
_cell_angle_gamma 90.00
loop_
_atom_site_label
_atom_site_fract_x
_atom_site_fract_y
_atom_site_fract_z
Sr1 0.0000 0.5000 0.0000
Mo1 0.0000 0.0000 0.5000
Ru1 0.5000 0.5000 0.5000
# - Calculated formation energy: 4.46 eV per formula unit
# - Total magnetic moment: 0.000 μB per formula unit



# 7
# BaReSb2 | Alexandria via LeMat-Bulk | PBE-GGA | optimized geometry
data_BaReSb2
_chemical_formula_sum 'Ba2 Re2 Sb4'
_space_group_name_H-M_alt 'C 1 2/m 1'
_space_group_IT_number 12
_cell_length_a 8.1983
_cell_length_b 3.7345
_cell_length_c 7.4340
_cell_angle_alpha 90.00
_cell_angle_beta 102.59
_cell_angle_gamma 90.00
loop_
_space_group_symop_operation_xyz
'x,y,z'
'-x,-y,-z'
'-x,y,-z'
'x,-y,z'
'x+1/2,y+1/2,z'
'-x+1/2,-y+1/2,-z'
'-x+1/2,y+1/2,-z'
'x+1/2,-y+1/2,z'
loop_
_atom_site_label
_atom_site_fract_x
_atom_site_fract_y
_atom_site_fract_z
Ba1 0.0000 0.0000 0.0000
Re1 0.0000 0.5000 0.5000
Sb1 0.2298 0.0000 0.6700
# - Total magnetic moment: 0.000 μB per formula unit



# 8
# ScIrRh2 | Alexandria via LeMat-Bulk | PBE-GGA | optimized geometry
data_ScIrRh2
_chemical_formula_sum 'Sc3 Ir3 Rh6'
_space_group_name_H-M_alt 'R -3 m'
_space_group_IT_number 166
_space_group_name_Hall '-R 3 2"'
_cell_length_a 2.8542
_cell_length_b 2.8542
_cell_length_c 26.4449
_cell_angle_alpha 90.00
_cell_angle_beta 90.00
_cell_angle_gamma 120.00
loop_
_atom_site_label
_atom_site_fract_x
_atom_site_fract_y
_atom_site_fract_z
Sc1 0.0000 0.0000 0.0000
Ir1 0.0000 0.0000 0.5000
Rh1 0.0000 0.0000 0.2494
# - Calculated formation energy: -0.42 eV per formula unit
# - Total magnetic moment: 0.000 μB per formula unit



| no. | E_tot (eV/atom) |
| --- | --- |
| 1 | -9.15 |
| 2 | -7.86 |
| 3 | -6.27 |
| 4 | -3.32 |
| 5 | -1.75 |
| 6 | -4.75 |
| 7 | -5.68 |
| 8 | -7.58 |